Entry from Alexandria: a relaxed Rb2VSBr6 crystal (PBE).

abc: 7.7350 7.7350 7.7350
angles: 114.66 114.66 99.53
Last column: nearest neighbours and their distance in Å.
Fractional positions:
Rb (0.2500, 0.7500, 0.5000)  12 Br 3.89-4.18
Rb (0.7500, 0.2500, 0.5000)  12 Br 3.89-4.18
V (0.0000, 0.0000, 0.0000)  6 Br 2.52-2.58
S (0.5000, 0.5000, 0.0000)  2 Br 2.41
Br (0.2136, 0.2136, 0.4271)  1 V 2.52
Br (0.2136, 0.7864, 0.0000)  1 V 2.52
Br (0.2584, 0.2584, 0.0000)  1 S 2.41, 1 V 2.58
Br (0.7416, 0.7416, 0.0000)  1 S 2.41, 1 V 2.58
Br (0.7864, 0.2136, 0.0000)  1 V 2.52
Br (0.7864, 0.7864, 0.5729)  1 V 2.52

* SG: I4/mmm
* mass density: 3.50 g/cm³
* DOS at the Fermi energy: 8.921 states/eV/f.u.
* formation energy without anion corrections: -0.84 eV/atom


Entry from Alexandria: a relaxed MgInPb2 crystal (PBE).

abc: 5.8328 5.8328 5.8328
angles: 130.50 130.50 72.61
Last column: nearest neighbours and their distance in Å.
Fractional positions:
Mg (0.0000, 0.0000, 0.0000)  8 Pb 3.39, 4 In 3.45
In (0.5000, 0.5000, 0.0000)  8 Pb 3.39, 4 Mg 3.45
Pb (0.2500, 0.7500, 0.5000)  4 In 3.39, 4 Mg 3.39, 4 Pb 3.45
Pb (0.7500, 0.2500, 0.5000)  4 In 3.39, 4 Mg 3.39, 4 Pb 3.45

* SG: I4/mmm
* mass density: 8.20 g/cm³
* DOS at the Fermi energy: 1.642 states/eV/f.u.
* ΔH_f (0 K): -4 meV per atom


Entry from Alexandria: a relaxed TiFe2HAu crystal (PBE).

abc: 3.8227 3.8227 3.9174
angles: 90.00 90.00 90.00
Last column: nearest neighbours and their distance in Å.
Fractional positions:
Ti (0.0000, 0.0000, 0.0000)  2 H 1.96
Fe (0.0000, 0.5000, 0.5000)  2 H 1.91
Fe (0.5000, 0.0000, 0.5000)  2 H 1.91
H (0.0000, 0.0000, 0.5000)  4 Fe 1.91, 2 Ti 1.96
Au (0.5000, 0.5000, 0.0000)  4 Ti 2.70, 8 Fe 2.74

* SG: P4/mmm
* total energy: -32.2 eV/cell
* mass density: 10.37 g/cm³
* DOS at the Fermi energy: 3.395 states/eV/f.u.


Entry from Alexandria: a relaxed HgBiAu2 crystal (PBE).

abc: 4.5493 7.5513 5.8002
angles: 90.00 108.86 90.00
Last column: nearest neighbours and their distance in Å.
Fractional positions:
Hg (0.1205, 0.2500, 0.4887)  6 Au 2.93-3.01, 2 Bi 3.11-3.17
Hg (0.8795, 0.7500, 0.5113)  6 Au 2.93-3.01, 2 Bi 3.11-3.17
Bi (0.1593, 0.7500, 0.0881)  4 Au 2.87-3.14, 2 Hg 3.11-3.17
Bi (0.8407, 0.2500, 0.9119)  4 Au 2.87-3.14, 2 Hg 3.11-3.17
Au (0.4655, 0.5594, 0.7424)  2 Bi 2.87-3.14, 3 Au 2.88-3.06, 3 Hg 2.93-3.01
Au (0.4655, 0.9406, 0.7424)  2 Bi 2.87-3.14, 3 Au 2.88-3.06, 3 Hg 2.93-3.01
Au (0.5345, 0.0594, 0.2576)  2 Bi 2.87-3.14, 3 Au 2.88-3.06, 3 Hg 2.93-3.01
Au (0.5345, 0.4406, 0.2576)  2 Bi 2.87-3.14, 3 Au 2.88-3.06, 3 Hg 2.93-3.01

* SG: P2_1/m
* mass density: 14.15 g/cm³
* DOS at the Fermi energy: 1.407 states/eV/f.u.
* ΔH_f (0 K): 41 meV per atom


It is found that the size of the total moment values, taken in the order of the records, are 1.0, 0.0, 2.6, 0.0 μB/f.u..